Entry 1:
CsZnSi2Ni: relaxed, GGA-PBE.

Computed properties:
As for the uncorrected formation energy: 0.87 eV/atom. Its total magnetization is 0.00 μB per formula unit. Its space-group type is P4/mmm, No. 123.

Cell and atoms, written as CIF:
```
data_CsZnSi2Ni
_chemical_formula_sum 'Cs1 Zn1 Si2 Ni1'
_cell_length_a 4.869
_cell_length_b 4.869
_cell_length_c 4.964
_cell_angle_alpha 90.00
_cell_angle_beta 90.00
_cell_angle_gamma 90.00
_space_group_name_H-M_alt 'P 1'
_space_group_IT_number 1
_space_group_name_Hall 'P 1'
loop_
_atom_site_label
_atom_site_fract_x
_atom_site_fract_y
_atom_site_fract_z
_atom_site_occupancy
Cs1 0.500 0.500 0.500 1
Ni1 0.000 0.000 0.500 1
Zn1 0.000 0.000 0.000 1
Si1 0.000 0.500 0.000 1
Si2 0.500 0.000 0.000 1
```

Entry 2:
CsNi3Sn: relaxed, GGA-PBE.

Computed properties:
The energy of formation comes out at 3.89 eV per formula unit. Its total magnetization is 1.41 μB per formula unit. As for the polymorph energy (0 for the lowest one): 0.00 eV per formula unit. Its space-group type is Pm-3m, No. 221.

Cell and atoms, written as CIF:
```
data_CsNi3Sn
_chemical_formula_sum 'Cs1 Ni3 Sn1'
_cell_length_a 4.976
_cell_length_b 4.976
_cell_length_c 4.976
_cell_angle_alpha 90.00
_cell_angle_beta 90.00
_cell_angle_gamma 90.00
_space_group_name_H-M_alt 'P 1'
_space_group_IT_number 1
_space_group_name_Hall 'P 1'
loop_
_atom_site_label
_atom_site_fract_x
_atom_site_fract_y
_atom_site_fract_z
_atom_site_occupancy
Cs1 0.500 0.500 0.500 1
Ni1 0.000 0.500 0.000 1
Ni2 0.000 0.000 0.500 1
Ni3 0.500 0.000 0.000 1
Sn1 0.000 0.000 0.000 1
```

Entry 3:
Cs3NiSn: relaxed, GGA-PBE.

Computed properties:
The energy of formation comes out at 3.55 eV per formula unit. Its total magnetization is 0.96 μB per formula unit. Its space-group type is Pm-3m, No. 221.

Cell and atoms, written as CIF:
```
data_Cs3NiSn
_chemical_formula_sum 'Cs3 Ni1 Sn1'
_cell_length_a 7.291
_cell_length_b 7.291
_cell_length_c 7.291
_cell_angle_alpha 90.00
_cell_angle_beta 90.00
_cell_angle_gamma 90.00
_space_group_name_H-M_alt 'P 1'
_space_group_IT_number 1
_space_group_name_Hall 'P 1'
loop_
_atom_site_label
_atom_site_fract_x
_atom_site_fract_y
_atom_site_fract_z
_atom_site_occupancy
Cs1 0.000 0.500 0.000 1
Cs2 0.000 0.000 0.500 1
Cs3 0.500 0.000 0.000 1
Ni1 0.500 0.500 0.500 1
Sn1 0.000 0.000 0.000 1
```

Entry 4:
CsNiSn3: relaxed, GGA-PBE.

Computed properties:
The energy of formation comes out at 0.54 eV per formula unit. Its total magnetization is 0.00 μB per formula unit. As for the polymorph energy (0 for the lowest one): 0.00 eV per formula unit. Its space-group type is Pm-3m, No. 221.

Cell and atoms, written as CIF:
```
data_CsNiSn3
_chemical_formula_sum 'Cs1 Ni1 Sn3'
_cell_length_a 5.257
_cell_length_b 5.257
_cell_length_c 5.257
_cell_angle_alpha 90.00
_cell_angle_beta 90.00
_cell_angle_gamma 90.00
_space_group_name_H-M_alt 'P 1'
_space_group_IT_number 1
_space_group_name_Hall 'P 1'
loop_
_atom_site_label
_atom_site_fract_x
_atom_site_fract_y
_atom_site_fract_z
_atom_site_occupancy
Cs1 0.500 0.500 0.500 1
Ni1 0.000 0.000 0.000 1
Sn1 0.000 0.500 0.000 1
Sn2 0.000 0.000 0.500 1
Sn3 0.500 0.000 0.000 1
```

Entry 5:
CsNi2Sn2: relaxed, GGA-PBE.

Computed properties:
The energy of formation comes out at 0.40 eV per formula unit. Its total magnetization is 0.00 μB per formula unit. Its space-group type is I4/mmm, No. 139.

Cell and atoms, written as CIF:
```
data_CsNi2Sn2
_chemical_formula_sum 'Cs1 Ni2 Sn2'
_cell_length_a 7.650
_cell_length_b 7.650
_cell_length_c 7.650
_cell_angle_alpha 144.74
_cell_angle_beta 144.74
_cell_angle_gamma 50.72
_space_group_name_H-M_alt 'P 1'
_space_group_IT_number 1
_space_group_name_Hall 'P 1'
loop_
_atom_site_label
_atom_site_fract_x
_atom_site_fract_y
_atom_site_fract_z
_atom_site_occupancy
Cs1 0.000 0.000 0.000 1
Ni1 0.671 0.671 0.000 1
Ni2 0.329 0.329 0.000 1
Sn1 0.750 0.250 0.500 1
Sn2 0.250 0.750 0.500 1
```

Entry 6:
CsNi2Sn: relaxed, GGA-PBE.

Computed properties:
The energy of formation comes out at 2.46 eV per formula unit. Its total magnetization is 0.00 μB per formula unit. Its space-group type is I-42d, No. 122.

Cell and atoms, written as CIF:
```
data_CsNi2Sn
_chemical_formula_sum 'Cs2 Ni4 Sn2'
_cell_length_a 7.856
_cell_length_b 7.856
_cell_length_c 6.789
_cell_angle_alpha 54.65
_cell_angle_beta 54.65
_cell_angle_gamma 90.00
_space_group_name_H-M_alt 'P 1'
_space_group_IT_number 1
_space_group_name_Hall 'P 1'
loop_
_atom_site_label
_atom_site_fract_x
_atom_site_fract_y
_atom_site_fract_z
_atom_site_occupancy
Cs1 0.000 0.000 0.000 1
Cs2 0.750 0.250 0.500 1
Ni1 0.517 0.125 0.250 1
Ni2 0.233 0.625 0.250 1
Ni3 0.375 0.483 0.750 1
Ni4 0.875 0.767 0.750 1
Sn1 0.500 0.500 0.000 1
Sn2 0.250 0.750 0.500 1
```

Entry 7:
Cs2NiSn: relaxed, GGA-PBE.

Computed properties:
The energy of formation comes out at 0.51 eV per formula unit. Its total magnetization is 0.00 μB per formula unit. Its space-group type is I-42d, No. 122.

Cell and atoms, written as CIF:
```
data_Cs2NiSn
_chemical_formula_sum 'Cs4 Ni2 Sn2'
_cell_length_a 9.746
_cell_length_b 9.746
_cell_length_c 9.746
_cell_angle_alpha 93.60
_cell_angle_beta 93.60
_cell_angle_gamma 150.96
_space_group_name_H-M_alt 'P 1'
_space_group_IT_number 1
_space_group_name_Hall 'P 1'
loop_
_atom_site_label
_atom_site_fract_x
_atom_site_fract_y
_atom_site_fract_z
_atom_site_occupancy
Cs1 0.694 0.375 0.819 1
Cs2 0.556 0.875 0.181 1
Cs3 0.125 0.306 0.681 1
Cs4 0.625 0.444 0.319 1
Ni1 0.500 0.500 0.000 1
Ni2 0.750 0.250 0.500 1
Sn1 0.000 0.000 0.000 1
Sn2 0.250 0.750 0.500 1
```

Entry 8:
CsNi3Sn: relaxed, GGA-PBE.

Computed properties:
The energy of formation comes out at 8.95 eV per formula unit. Its total magnetization is 0.00 μB per formula unit. As for the polymorph energy (0 for the lowest one): 5.06 eV per formula unit. Its space-group type is Pm-3m, No. 221.

Cell and atoms, written as CIF:
```
data_CsNi3Sn
_chemical_formula_sum 'Cs1 Ni3 Sn1'
_cell_length_a 4.855
_cell_length_b 4.855
_cell_length_c 4.855
_cell_angle_alpha 90.00
_cell_angle_beta 90.00
_cell_angle_gamma 90.00
_space_group_name_H-M_alt 'P 1'
_space_group_IT_number 1
_space_group_name_Hall 'P 1'
loop_
_atom_site_label
_atom_site_fract_x
_atom_site_fract_y
_atom_site_fract_z
_atom_site_occupancy
Cs1 0.000 0.000 0.000 1
Ni1 0.000 0.500 0.000 1
Ni2 0.000 0.000 0.500 1
Ni3 0.500 0.000 0.000 1
Sn1 0.500 0.500 0.500 1
```

Entry 9:
CsNiSn3: relaxed, GGA-PBE.

Computed properties:
The energy of formation comes out at 10.02 eV per formula unit. Its total magnetization is 0.68 μB per formula unit. As for the polymorph energy (0 for the lowest one): 9.48 eV per formula unit. Its space-group type is Pm-3m, No. 221.

Cell and atoms, written as CIF:
```
data_CsNiSn3
_chemical_formula_sum 'Cs1 Ni1 Sn3'
_cell_length_a 6.161
_cell_length_b 6.161
_cell_length_c 6.161
_cell_angle_alpha 90.00
_cell_angle_beta 90.00
_cell_angle_gamma 90.00
_space_group_name_H-M_alt 'P 1'
_space_group_IT_number 1
_space_group_name_Hall 'P 1'
loop_
_atom_site_label
_atom_site_fract_x
_atom_site_fract_y
_atom_site_fract_z
_atom_site_occupancy
Cs1 0.000 0.000 0.000 1
Ni1 0.500 0.500 0.500 1
Sn1 0.000 0.500 0.000 1
Sn2 0.000 0.000 0.500 1
Sn3 0.500 0.000 0.000 1
```

Entry 10:
CsTl2NiSn: relaxed, GGA-PBE.

Computed properties:
The energy of formation comes out at 0.38 eV per formula unit. Its total magnetization is 0.00 μB per formula unit. Its space-group type is P4/mmm, No. 123.

Cell and atoms, written as CIF:
```
data_CsTl2NiSn
_chemical_formula_sum 'Cs1 Tl2 Ni1 Sn1'
_cell_length_a 5.464
_cell_length_b 5.464
_cell_length_c 5.136
_cell_angle_alpha 90.00
_cell_angle_beta 90.00
_cell_angle_gamma 90.00
_space_group_name_H-M_alt 'P 1'
_space_group_IT_number 1
_space_group_name_Hall 'P 1'
loop_
_atom_site_label
_atom_site_fract_x
_atom_site_fract_y
_atom_site_fract_z
_atom_site_occupancy
Cs1 0.500 0.500 0.500 1
Ni1 0.000 0.000 0.000 1
Tl1 0.000 0.500 0.000 1
Tl2 0.500 0.000 0.000 1
Sn1 0.000 0.000 0.500 1
```

Entry 11:
Cs2Sr2Ni: relaxed, GGA-PBE.

Computed properties:
The energy of formation comes out at 1.64 eV per formula unit. Its total magnetization is 0.00 μB per formula unit. Its space-group type is P4/mbm, No. 127.

Cell and atoms, written as CIF:
```
data_Cs2Sr2Ni
_chemical_formula_sum 'Cs4 Sr4 Ni2'
_cell_length_a 8.206
_cell_length_b 8.206
_cell_length_c 7.949
_cell_angle_alpha 90.00
_cell_angle_beta 90.00
_cell_angle_gamma 90.00
_space_group_name_H-M_alt 'P 1'
_space_group_IT_number 1
_space_group_name_Hall 'P 1'
loop_
_atom_site_label
_atom_site_fract_x
_atom_site_fract_y
_atom_site_fract_z
_atom_site_occupancy
Cs1 0.193 0.693 0.500 1
Cs2 0.693 0.807 0.500 1
Cs3 0.807 0.307 0.500 1
Cs4 0.307 0.193 0.500 1
Sr1 0.311 0.811 0.000 1
Sr2 0.811 0.689 0.000 1
Sr3 0.689 0.189 0.000 1
Sr4 0.189 0.311 0.000 1
Ni1 0.000 0.000 0.000 1
Ni2 0.500 0.500 0.000 1
```

Entry 12:
CsSr2Ni: relaxed, GGA-PBE.

Computed properties:
The energy of formation comes out at 2.16 eV per formula unit. Its total magnetization is 0.00 μB per formula unit. Its space-group type is Fm-3m, No. 225.

Cell and atoms, written as CIF:
```
data_CsSr2Ni
_chemical_formula_sum 'Cs1 Sr2 Ni1'
_cell_length_a 5.969
_cell_length_b 5.969
_cell_length_c 5.969
_cell_angle_alpha 60.00
_cell_angle_beta 60.00
_cell_angle_gamma 60.00
_space_group_name_H-M_alt 'P 1'
_space_group_IT_number 1
_space_group_name_Hall 'P 1'
loop_
_atom_site_label
_atom_site_fract_x
_atom_site_fract_y
_atom_site_fract_z
_atom_site_occupancy
Cs1 0.500 0.500 0.500 1
Sr1 0.250 0.250 0.250 1
Sr2 0.750 0.750 0.750 1
Ni1 0.000 0.000 0.000 1
```